P | # RhS2F meta-GGA SCAN PBEsol geometry
# M_tot: 0.000 μB/atom
data_RhS2F
_chemical_formula_sum 'Rh4 S8 F4'
_symmetry_space_group_name_H-M 'I -4 2 d'
_symmetry_Int_Tables_number 122
_symmetry_space_group_name_Hall 'I -4 2bw'
_cell_length_a 5.797
_cell_length_b 5.797
_cell_length_c 8.581
_cell_angle_alpha 90.00
_cell_angle_beta 90.00
_cell_angle_gamma 90.00
loop_
_atom_site_label
_atom_site_fract_x
_atom_site_fract_y
_atom_site_fract_z
_atom_site_occupancy
Rh1 0.000 0.000 0.000 1
S1 0.211 0.750 0.125 1
F1 0.000 0.000 0.500 1

Q | # RhS2F meta-GGA SCAN PBEsol geometry
# M_tot: 0.000 μB/atom
data_RhS2F
_chemical_formula_sum 'Rh4 S8 F4'
_symmetry_space_group_name_H-M 'F m -3 m'
_symmetry_Int_Tables_number 225
_symmetry_space_group_name_Hall '-F 4 2 3'
_cell_length_a 5.775
_cell_length_b 5.775
_cell_length_c 5.775
_cell_angle_alpha 90.00
_cell_angle_beta 90.00
_cell_angle_gamma 90.00
loop_
_atom_site_label
_atom_site_fract_x
_atom_site_fract_y
_atom_site_fract_z
_atom_site_occupancy
Rh1 0.000 0.000 0.000 1
S1 0.250 0.250 0.250 1
F1 0.000 0.000 0.500 1

In meV per atom, relative to the most stable structure: P 24; Q 0.

P | # TcS2F meta-GGA SCAN PBEsol geometry
# M_tot: 0.000 μB/atom
data_TcS2F
_chemical_formula_sum 'Tc4 S8 F4'
_symmetry_space_group_name_H-M 'I -4 2 d'
_symmetry_Int_Tables_number 122
_symmetry_space_group_name_Hall 'I -4 2bw'
_cell_length_a 5.676
_cell_length_b 5.676
_cell_length_c 9.347
_cell_angle_alpha 90.00
_cell_angle_beta 90.00
_cell_angle_gamma 90.00
loop_
_atom_site_label
_atom_site_fract_x
_atom_site_fract_y
_atom_site_fract_z
_atom_site_occupancy
Tc1 0.000 0.000 0.000 1
S1 0.206 0.250 0.125 1
F1 0.000 0.000 0.500 1

Q | # TcS2F meta-GGA SCAN PBEsol geometry
# M_tot: 0.000 μB/atom
data_TcS2F
_chemical_formula_sum 'Tc3 S6 F3'
_symmetry_space_group_name_H-M 'R -3 m'
_symmetry_Int_Tables_number 166
_symmetry_space_group_name_Hall '-R 3 2"'
_cell_length_a 2.6798
_cell_length_b 2.6798
_cell_length_c 25.6139
_cell_angle_alpha 90.00
_cell_angle_beta 90.00
_cell_angle_gamma 120.00
loop_
_atom_site_label
_atom_site_fract_x
_atom_site_fract_y
_atom_site_fract_z
_atom_site_occupancy
Tc1 0.0000 0.0000 0.0000 1
S1 0.0000 0.0000 0.0904 1
F1 0.0000 0.0000 0.5000 1

In meV per atom, relative to the most stable structure: P 0; Q 829.

P | # ScWF2 meta-GGA SCAN PBEsol geometry
# M_tot: 0.000 μB/atom
data_ScWF2
_chemical_formula_sum 'Sc3 W3 F6'
_symmetry_space_group_name_H-M 'R -3 m'
_symmetry_Int_Tables_number 166
_symmetry_space_group_name_Hall '-R 3 2"'
_cell_length_a 2.7778
_cell_length_b 2.7778
_cell_length_c 22.3457
_cell_angle_alpha 90.00
_cell_angle_beta 90.00
_cell_angle_gamma 120.00
loop_
_atom_site_label
_atom_site_fract_x
_atom_site_fract_y
_atom_site_fract_z
_atom_site_occupancy
Sc1 0.0000 0.0000 0.0000 1
W1 0.0000 0.0000 0.5000 1
F1 0.0000 0.0000 0.4031 1

Q | # ScWF2 meta-GGA SCAN PBEsol geometry
# M_tot: 0.000 μB/atom
data_ScWF2
_chemical_formula_sum 'Sc4 W4 F8'
_symmetry_space_group_name_H-M 'F m -3 m'
_symmetry_Int_Tables_number 225
_symmetry_space_group_name_Hall '-F 4 2 3'
_cell_length_a 5.944
_cell_length_b 5.944
_cell_length_c 5.944
_cell_angle_alpha 90.00
_cell_angle_beta 90.00
_cell_angle_gamma 90.00
loop_
_atom_site_label
_atom_site_fract_x
_atom_site_fract_y
_atom_site_fract_z
_atom_site_occupancy
Sc1 0.000 0.000 0.000 1
W1 0.000 0.000 0.500 1
F1 0.250 0.250 0.250 1

In meV per atom, relative to the most stable structure: P 0; Q 1307.